Entry 1:
! YB3H24N4 | Alexandria | SCAN | PBEsol geometry; values from VASP
&SYSTEM
  ibrav = 0, nat = 128, ntyp = 4
/
ATOMIC_SPECIES
Y 88.91 Y.upf
B 10.81 B.upf
H 1.01 H.upf
N 14.01 N.upf
ATOMIC_POSITIONS angstrom
Y 3.106 -8.429 3.893
Y -6.467 -6.690 5.819
Y -3.327 -8.575 0.128
Y -0.034 -6.545 9.584
B 0.919 -1.991 2.319
B -4.280 -13.129 7.393
B 0.999 -9.137 5.576
B -4.360 -5.982 4.136
B -4.614 -6.309 -0.859
B -2.004 -5.778 7.770
B 1.668 -6.199 3.043
B -8.286 -5.888 3.868
B 4.925 -9.232 5.844
B -5.029 -8.921 6.669
B -1.356 -9.342 1.942
B 1.253 -8.811 10.571
H 4.066 -6.780 6.145
H -6.382 -9.312 4.465
H -1.624 -6.751 1.705
H -0.693 -9.341 8.905
H 3.022 -5.808 5.247
H -7.427 -8.340 3.567
H -2.668 -5.779 0.807
H -1.737 -8.369 8.007
H 4.610 -5.964 4.813
H -7.971 -9.156 4.899
H -3.149 -6.421 2.253
H -0.212 -8.698 7.459
H -0.620 -4.524 -0.206
H -3.778 -9.630 9.026
H -0.710 -11.710 3.205
H -3.688 -2.444 5.615
H -0.429 -6.126 -0.590
H -2.932 -8.994 10.302
H 1.616 -7.011 7.161
H -4.977 -8.109 2.551
H 0.417 -5.490 0.686
H -2.741 -10.596 9.918
H 0.327 -12.676 4.097
H -2.651 -3.409 6.507
H 4.909 -10.746 3.611
H -5.417 -7.030 8.554
H -0.825 -4.927 5.492
H 0.317 -12.849 6.674
H 3.810 -11.072 2.442
H -5.699 -5.418 8.536
H -1.804 -5.226 4.213
H -0.086 -11.264 6.764
H 3.462 -11.381 4.048
H -4.338 -6.053 7.800
H -0.152 -5.064 4.003
H -0.724 -12.369 7.846
H -8.270 -4.374 6.101
H 2.056 -8.090 1.158
H -2.536 -10.192 4.220
H -3.678 -2.271 3.038
H -7.171 -4.047 7.270
H 2.339 -9.702 1.176
H -1.557 -9.894 5.499
H -3.275 -3.855 2.948
H -6.823 -3.739 5.664
H 0.977 -9.067 1.912
H -3.208 -10.055 5.709
H -2.637 -2.751 1.866
H -1.511 -7.566 -0.891
H -1.849 -7.553 10.603
H 1.754 -8.164 5.751
H -5.115 -6.955 3.961
H 2.019 -2.520 2.409
H -4.099 -13.792 8.405
H 1.148 -9.890 6.529
H -3.228 -6.422 4.285
H 0.047 -2.877 2.374
H -3.408 -12.243 7.338
H 1.329 -9.741 4.538
H -4.690 -5.379 5.174
H 0.738 -1.328 1.307
H -5.380 -12.599 7.303
H -0.133 -8.697 5.427
H -4.509 -5.230 3.183
H -3.615 -6.861 -1.341
H -2.161 -6.010 8.976
H 1.276 -7.077 3.824
H -7.052 -5.794 3.811
H -5.018 -6.932 0.135
H -0.809 -5.891 7.456
H 2.809 -6.459 2.632
H -8.637 -6.364 4.959
H -4.346 -5.168 -0.509
H -2.651 -6.566 7.094
H 1.704 -5.112 3.604
H -8.701 -6.622 2.982
H 1.844 -13.153 4.555
H -2.361 -4.615 7.603
H 0.882 -6.214 2.100
H -1.399 -11.554 10.058
H 3.691 -9.326 5.901
H -4.637 -8.043 5.888
H -1.200 -9.109 0.735
H 0.254 -8.259 11.053
H 5.276 -8.756 4.753
H -6.170 -8.661 7.080
H -2.552 -9.229 2.256
H 1.657 -8.187 9.577
H 5.340 -8.498 6.730
H -5.065 -10.007 6.108
H -0.710 -8.554 2.618
H 0.985 -9.951 10.221
H -1.962 -3.566 -0.346
H -4.243 -8.906 7.612
H -1.000 -10.505 2.109
H -5.205 -1.966 5.157
N 3.799 -6.478 5.199
N -7.160 -8.642 4.513
N -2.596 -6.615 1.400
N -0.765 -8.505 8.312
N 0.077 -5.286 -0.270
N -3.438 -9.834 9.982
N 1.684 -6.274 7.880
N -5.045 -8.846 1.832
N 3.901 -10.703 3.401
N -5.352 -6.195 7.954
N -0.975 -4.683 4.502
N -0.475 -12.215 6.852
N -7.262 -4.417 6.311
N 1.991 -8.924 1.758
N -2.386 -10.437 5.210
N -2.886 -2.904 2.859
CELL_PARAMETERS angstrom
-2.310 -6.343 -4.182
7.316 -6.812 6.291
-8.367 -1.965 7.602
! V   8.41 Å³ per atom
! DFT total energy   -5.7193 eV/atom
! DOS(E_F)   0.00 states/eV/cell


Entry 2:
! NaBH4 | Alexandria | SCAN | PBEsol geometry; values from VASP
&SYSTEM
  ibrav = 0, nat = 12, ntyp = 3
/
ATOMIC_SPECIES
Na 22.99 Na.upf
B 10.81 B.upf
H 1.01 H.upf
ATOMIC_POSITIONS angstrom
Na -1.211 -0.876 3.789
Na -4.049 0.867 -1.139
B -2.850 0.112 1.013
B -6.046 -0.809 -2.186
H -6.496 -1.880 -1.782
H -6.240 -0.013 -1.269
H -2.572 -0.781 0.214
H -2.863 -2.908 -0.371
H -4.069 0.289 0.977
H -2.534 -0.242 2.144
H -7.270 -1.504 0.950
H -5.499 -1.957 1.718
CELL_PARAMETERS angstrom
-0.560 -4.090 -1.124
-0.651 -1.057 4.171
-6.683 1.493 -2.103
! V   10.91 Å³ per atom
! DFT total energy   -4.5994 eV/atom
! DOS(E_F)   0.00 states/eV/cell


Entry 3:
! NaBH4 | Alexandria | SCAN | PBEsol geometry; values from VASP
&SYSTEM
  ibrav = 0, nat = 6, ntyp = 3
/
ATOMIC_SPECIES
Na 22.99 Na.upf
B 10.81 B.upf
H 1.01 H.upf
ATOMIC_POSITIONS angstrom
Na 0.000 0.000 0.000
B 2.496 1.817 4.119
H 1.900 1.384 3.137
H 2.811 2.987 3.923
H 1.765 1.749 5.103
H 3.506 1.148 4.313
CELL_PARAMETERS angstrom
-0.285 0.767 4.122
3.367 -0.494 2.467
1.909 3.362 1.649
! V   8.75 Å³ per atom
! DFT total energy   -4.6247 eV/atom
! DOS(E_F)   0.00 states/eV/cell


Entry 4:
! NaBH4 | Alexandria | SCAN | PBEsol geometry; values from VASP
&SYSTEM
  ibrav = 0, nat = 12, ntyp = 3
/
ATOMIC_SPECIES
Na 22.99 Na.upf
B 10.81 B.upf
H 1.01 H.upf
ATOMIC_POSITIONS angstrom
Na 2.108 2.108 0.000
Na 0.000 0.000 2.874
B 0.000 0.000 0.000
B 2.108 2.108 2.874
H 2.108 1.102 3.579
H 3.115 2.108 2.169
H 2.108 3.115 3.579
H 0.000 3.210 5.043
H 3.210 0.000 0.705
H 1.006 0.000 0.705
H 0.000 1.006 5.043
H 1.102 2.108 2.169
CELL_PARAMETERS angstrom
4.216 0.000 0.000
0.000 4.216 0.000
0.000 0.000 5.748
! V   8.51 Å³ per atom
! DFT total energy   -4.6417 eV/atom
! DOS(E_F)   0.00 states/eV/cell


Entry 5:
! NaB6H6 | Alexandria | SCAN | PBEsol geometry; values from VASP
&SYSTEM
  ibrav = 0, nat = 52, ntyp = 3
/
ATOMIC_SPECIES
Na 22.99 Na.upf
B 10.81 B.upf
H 1.01 H.upf
ATOMIC_POSITIONS angstrom
Na 3.955 3.519 1.996
Na 5.313 6.718 7.216
Na 2.224 3.306 8.443
Na 0.865 0.107 3.224
B 6.339 3.909 3.618
B 2.929 6.328 8.838
B -0.160 2.916 6.822
B 3.249 0.497 1.602
B 0.318 1.882 5.466
B 2.771 1.531 0.246
B 5.860 4.943 4.974
B 3.407 5.294 10.194
B 0.868 2.922 4.141
B 2.221 0.491 9.361
B 5.310 3.903 6.299
B 3.957 6.334 1.079
B 4.935 3.484 4.619
B 4.332 6.754 9.839
B 1.243 3.341 5.821
B 1.846 0.071 0.601
B 6.068 2.226 4.103
B 3.854 1.183 9.323
B 0.110 4.599 6.337
B 2.324 5.642 1.117
B 5.431 2.221 5.753
B 4.492 1.188 0.533
B 0.747 4.604 4.687
B 1.687 5.637 9.907
H 5.731 1.382 3.305
H 4.191 2.027 8.525
H 0.447 5.443 7.135
H 1.987 4.798 1.915
H 4.632 1.389 6.114
H 5.291 2.020 0.894
H 1.546 5.436 4.326
H 0.888 4.805 9.546
H 3.790 3.543 4.239
H 5.477 6.695 9.459
H 2.388 3.282 6.201
H 0.701 0.130 0.981
H 1.725 2.565 3.366
H 1.364 0.847 8.586
H 4.453 4.260 7.074
H 4.814 5.977 1.854
H 6.244 4.270 2.466
H 3.023 5.967 7.685
H -0.066 2.554 7.974
H 3.155 0.858 2.754
H 0.811 0.791 5.650
H 2.278 2.622 0.430
H 5.367 6.034 4.790
H 3.900 4.203 10.010
CELL_PARAMETERS angstrom
6.833 -0.004 0.000
-0.655 6.829 0.000
0.000 0.000 10.440
! V   9.37 Å³ per atom
! DFT total energy   -5.7260 eV/atom
! DOS(E_F)   0.00 states/eV/cell


Entry 6:
! Na3BH | Alexandria | SCAN | PBEsol geometry; values from VASP
&SYSTEM
  ibrav = 0, nat = 5, ntyp = 3
/
ATOMIC_SPECIES
Na 22.99 Na.upf
B 10.81 B.upf
H 1.01 H.upf
ATOMIC_POSITIONS angstrom
Na 0.000 2.202 0.000
Na 0.000 0.000 2.202
Na 2.202 0.000 0.000
B 2.202 2.202 2.202
H 0.000 0.000 0.000
CELL_PARAMETERS angstrom
4.405 0.000 0.000
0.000 4.405 0.000
0.000 0.000 4.405
! V   17.09 Å³ per atom
! DFT total energy   -4.0911 eV/atom
! DOS(E_F)   2.34 states/eV/cell


Entry 7:
! NaBH4 | Alexandria | SCAN | PBEsol geometry; values from VASP
&SYSTEM
  ibrav = 0, nat = 24, ntyp = 3
/
ATOMIC_SPECIES
Na 22.99 Na.upf
B 10.81 B.upf
H 1.01 H.upf
ATOMIC_POSITIONS angstrom
Na -0.401 -0.532 4.113
Na -1.828 -0.280 0.859
Na -4.193 -1.066 5.516
Na -2.766 -1.318 8.769
B -3.234 -3.634 7.013
B -2.724 -1.755 3.059
B -1.359 2.036 2.616
B -1.869 0.157 6.570
H -2.211 -2.997 7.220
H -3.316 -2.474 3.851
H -2.382 1.399 2.408
H -1.277 0.876 5.778
H -1.257 0.173 7.642
H -1.006 1.835 3.781
H -3.336 -1.771 1.987
H -3.588 -3.433 5.847
H -1.586 -2.176 2.866
H 0.997 1.050 5.907
H -1.902 -0.999 6.155
H -6.697 -1.071 4.329
H -3.007 0.578 6.763
H -5.591 -2.648 3.721
H -2.692 -0.599 3.473
H 2.103 -0.527 5.300
CELL_PARAMETERS angstrom
-2.278 3.250 1.251
-5.129 -4.310 1.857
2.813 -0.538 6.521
! V   8.58 Å³ per atom
! DFT total energy   -4.6154 eV/atom
! DOS(E_F)   0.00 states/eV/cell


Entry 8:
! NaBH8O7 | Alexandria | SCAN | PBEsol geometry; values from VASP
&SYSTEM
  ibrav = 0, nat = 34, ntyp = 4
/
ATOMIC_SPECIES
Na 22.99 Na.upf
B 10.81 B.upf
H 1.01 H.upf
O 16.00 O.upf
ATOMIC_POSITIONS angstrom
Na 0.000 0.000 0.000
Na 3.319 0.060 -0.057
B 7.879 4.752 4.186
B 3.293 3.846 2.439
H 9.019 7.359 4.209
H 2.153 1.239 2.416
H 6.751 2.487 4.071
H 4.421 6.111 2.554
H 6.325 6.791 5.055
H 4.846 1.808 1.570
H 2.884 2.016 4.538
H 8.288 6.583 2.087
H 3.539 4.520 5.617
H 7.633 4.079 1.008
H 5.100 4.800 5.298
H 6.072 3.798 1.327
H 8.246 5.147 6.171
H 2.926 3.451 0.454
H 6.196 5.643 3.350
H 4.976 2.955 3.275
O 5.965 2.047 4.524
O 5.207 6.552 2.101
O 6.126 7.711 5.385
O 5.046 0.887 1.240
O 4.458 4.567 6.019
O 6.714 4.032 0.606
O 8.425 4.428 5.472
O 2.747 4.170 1.153
O 6.543 5.319 4.233
O 4.629 3.279 2.392
O 8.721 5.773 3.450
O 2.450 2.825 3.175
O 7.765 3.532 3.321
O 3.407 5.066 3.304
CELL_PARAMETERS angstrom
6.639 0.119 -0.114
3.107 6.250 0.023
1.427 2.229 6.716
! V   8.12 Å³ per atom
! DFT total energy   -6.1719 eV/atom
! DOS(E_F)   0.00 states/eV/cell


Entry 9:
! Na3B3H4O8 | Alexandria | SCAN | PBEsol geometry; values from VASP
&SYSTEM
  ibrav = 0, nat = 36, ntyp = 4
/
ATOMIC_SPECIES
Na 22.99 Na.upf
B 10.81 B.upf
H 1.01 H.upf
O 16.00 O.upf
ATOMIC_POSITIONS angstrom
Na 6.759 1.194 0.096
Na 3.310 4.425 5.454
Na 6.471 5.268 0.441
Na 3.021 5.991 1.677
Na 6.054 1.918 3.401
Na 2.604 1.822 3.292
B 5.489 4.875 3.462
B 2.040 3.128 0.638
B 0.836 -0.535 4.694
B 4.286 -0.412 4.850
B 1.109 1.773 5.743
B 4.558 -0.281 2.318
H 3.156 1.510 5.791
H 6.606 -0.446 2.529
H 4.138 3.599 2.570
H 0.689 3.334 2.181
H 0.208 3.437 4.803
H 3.657 1.318 1.273
H 0.706 5.020 3.518
H 4.156 3.186 0.458
O 2.499 2.278 5.673
O 5.948 0.013 1.902
O 4.539 3.739 3.479
O 1.089 2.591 1.638
O 0.174 2.907 5.667
O 3.624 0.307 1.346
O 6.879 4.301 3.409
O 3.430 2.911 1.172
O 5.223 5.717 2.314
O 1.773 4.535 0.418
O 4.373 -1.807 4.787
O 0.924 -1.120 5.962
O 0.887 0.853 4.579
O 4.336 0.329 3.670
O 0.708 -1.296 3.582
O 4.158 0.226 6.037
CELL_PARAMETERS angstrom
6.899 0.042 -0.025
0.959 7.427 -0.034
-0.959 -3.444 6.580
! V   9.33 Å³ per atom
! DFT total energy   -7.4971 eV/atom
! DOS(E_F)   0.00 states/eV/cell


Entry 10:
! NaB3H4O7 | Alexandria | SCAN | PBEsol geometry; values from VASP
&SYSTEM
  ibrav = 0, nat = 60, ntyp = 4
/
ATOMIC_SPECIES
Na 22.99 Na.upf
B 10.81 B.upf
H 1.01 H.upf
O 16.00 O.upf
ATOMIC_POSITIONS angstrom
Na -2.349 -4.632 -3.768
Na 3.052 -4.819 -5.650
Na -1.690 -1.416 -4.377
Na -7.091 -1.228 -2.495
B 0.528 -3.394 -2.609
B -5.311 -3.336 -1.086
B -4.568 -2.653 -5.536
B 1.271 -2.712 -7.059
B -0.242 -1.827 -0.793
B -7.490 -3.440 0.175
B -3.798 -4.220 -7.352
B 3.450 -2.607 -8.319
B 1.716 -1.239 -2.132
B -6.823 -5.330 -1.224
B -5.755 -4.808 -6.013
B 2.784 -0.718 -6.921
H -6.993 -3.347 -4.423
H 0.919 -0.641 -5.274
H 2.953 -2.701 -3.721
H -4.959 -5.407 -2.870
H 0.154 -3.380 -4.598
H -3.486 -4.070 -0.611
H -4.194 -2.668 -3.547
H -0.554 -1.977 -7.534
H -2.499 -1.908 -6.911
H -4.501 -1.620 -1.819
H -1.541 -4.139 -1.233
H 0.461 -4.428 -6.325
H 2.645 -0.248 -10.453
H -2.778 -6.687 -5.442
H -6.685 -5.800 2.308
H -1.261 0.639 -2.703
O -4.922 -6.672 0.603
O 0.381 -0.178 -4.550
O 0.883 0.624 -8.748
O -4.421 -5.869 -3.595
O -0.372 -3.277 -3.737
O -4.223 -3.546 -0.152
O -3.667 -2.771 -4.407
O 0.184 -2.502 -7.992
O -1.769 -1.232 -6.804
O -4.989 -2.417 -2.179
O -2.271 -4.816 -1.340
O 0.949 -3.631 -5.965
O -3.934 2.006 -4.168
O -2.022 -6.052 -5.653
O -0.106 -8.053 -3.977
O -2.017 0.004 -2.492
O 0.723 -0.895 -1.197
O -7.663 -4.765 -0.247
O -4.763 -5.153 -6.947
O 3.623 -1.282 -7.898
O -0.268 -3.051 -1.375
O -6.445 -2.721 -0.305
O -3.772 -2.997 -6.769
O 2.406 -3.326 -7.839
O 1.699 -2.460 -2.731
O -5.767 -4.625 -1.709
O -5.738 -3.588 -5.414
O 1.727 -1.423 -6.436
CELL_PARAMETERS angstrom
-2.838 3.510 -4.389
6.389 -3.169 -6.665
-7.591 -6.388 2.910
! V   9.07 Å³ per atom
! DFT total energy   -7.5889 eV/atom
! DOS(E_F)   0.00 states/eV/cell